LiCd2Te | PBE | relaxed

Cell: 3.2262 3.2262 9.3756 Å, 90.00 90.00 100.03°
Atoms (fractional coordinates):
Cd  0.0000  0.0000  0.0355
Cd  0.0000  0.0000  0.4645
Li  0.5000  0.5000  0.2500
Te  0.5000  0.5000  0.7500

Values from the calculation:
DOS at the Fermi energy, states/eV/f.u.: 1.2
E_form (uncorrected), eV/atom: -0.09
Space-group type: No. 65